(1)
Entry from the Alexandria database: Sc2CuHgRu at its PBEsol-relaxed geometry (meta-GGA SCAN).

a b c (Å): 4.8050 4.8050 4.6993
angles (deg): 90.00 90.00 90.00
Closest atoms and distances in Å follow each position.
Space group P4/mmm (No. 123)
One atom of each set of equivalent atoms:
Sc 0.0000 0.5000 0.0000 x2  2 Ru 2.40
Cu 0.0000 0.0000 0.5000 x1  2 Ru 2.35
Hg 0.5000 0.5000 0.5000 x1  8 Sc 3.36, 4 Cu 3.40
Ru 0.0000 0.0000 0.0000 x1  2 Cu 2.35, 4 Sc 2.40

The calculation puts the energy relative to the elements at 64.4 meV per atom.

---

(2)
Entry from the Alexandria database: SrGa2Bi2 at its PBEsol-relaxed geometry (meta-GGA SCAN).

a b c (Å): 4.5384 4.5384 14.4889
angles (deg): 90.00 90.00 90.00
Closest atoms and distances in Å follow each position.
Space group I4/mmm (No. 139)
One atom of each set of equivalent atoms:
Sr 0.0000 0.0000 0.0000 x2  8 Bi 3.60
Ga 0.0000 0.5000 0.2500 x4  4 Bi 3.01, 4 Ga 3.21
Bi 0.0000 0.0000 0.3870 x4  4 Ga 3.01, 1 Bi 3.27

The calculation puts the energy relative to the elements at -253.7 meV per atom.

---

(3)
Entry from the Alexandria database: SiPAu2 at its PBEsol-relaxed geometry (meta-GGA SCAN).

a b c (Å): 4.1645 4.1645 3.7510
angles (deg): 90.00 90.00 90.00
Closest atoms and distances in Å follow each position.
Space group P4/mmm (No. 123)
One atom of each set of equivalent atoms:
Si 0.0000 0.0000 0.0000 x1  8 Au 2.80, 4 P 2.94
P 0.5000 0.5000 0.0000 x1  8 Au 2.80, 4 Si 2.94
Au 0.0000 0.5000 0.5000 x2  4 P 2.80, 4 Si 2.80, 4 Au 2.94

As for the uncorrected formation energy: 189 kJ/mol of formula units.

---

(4)
Entry from the Alexandria database: KTa2Os at its PBEsol-relaxed geometry (meta-GGA SCAN).

a b c (Å): 2.9179 3.9176 8.3893
angles (deg): 90.00 98.23 90.00
Closest atoms and distances in Å follow each position.
Space group P2/m (No. 10)
One atom of each set of equivalent atoms:
K 0.0000 0.0000 0.0000 x1  2 K 2.92
Ta 0.4768 0.5000 0.6483 x2  1 Ta 2.51, 2 Os 2.61
Os 0.0000 0.0000 0.5000 x1  8 Ta 2.61-2.87, 2 Os 2.92

The calculation puts the energy relative to the elements at 536.3 meV per atom.

---

So what do the calculations give for raw total energy? Going down the list: -29.27, -42.68, -39.19, -52.81 eV per atom.